The following is a PBE+U calculation of crystalline RbFeF4 at its relaxed geometry, from Alexandria.

## Properties
The value obtained for the density of states at the Fermi level is 0.0 states/eV/f.u. The space group is Pbcm (57). The total energy is -119.76 eV/cell. As for the spin magnetization: 5.0 μB/f.u.

POSCAR file:
```
RbFeF4
1.0
6.344 0.000 0.000
0.000 7.787 0.000
0.000 0.000 7.820
Rb Fe F
4 4 16
direct
0.495 0.298 0.250
0.495 0.202 0.750
0.505 0.798 0.250
0.505 0.702 0.750
0.000 0.000 0.000
0.000 0.500 0.000
0.000 0.500 0.500
0.000 0.000 0.500
0.716 0.055 0.452
0.716 0.445 0.548
0.284 0.555 0.048
0.284 0.945 0.952
0.284 0.945 0.548
0.284 0.555 0.452
0.716 0.445 0.952
0.716 0.055 0.048
0.086 0.250 0.000
0.914 0.750 0.500
0.914 0.750 0.000
0.086 0.250 0.500
0.072 0.986 0.250
0.072 0.514 0.750
0.928 0.486 0.250
0.928 0.014 0.750
```